SrGdAg after structural relaxation. Source: OQMD, functional GGA-PBE.

The uncorrected energy is -2.972 eV per atom. As for the space-group type: No. 216. As for the volume: 34.095 Å³ per atom.

Unit cell a=7.4237 b=7.4237 c=7.4237 alpha=90.00 beta=90.00 gamma=90.00
Atoms (fractional coordinates):
Sr 0.0000 0.0000 0.0000
Sr 0.0000 0.5000 0.5000
Sr 0.5000 0.0000 0.5000
Sr 0.5000 0.5000 0.0000
Gd 0.0000 0.0000 0.5000
Gd 0.0000 0.5000 0.0000
Gd 0.5000 0.0000 0.0000
Gd 0.5000 0.5000 0.5000
Ag 0.2500 0.2500 0.7500
Ag 0.2500 0.7500 0.2500
Ag 0.7500 0.2500 0.2500
Ag 0.7500 0.7500 0.7500

---

SrGdAgTe3 after structural relaxation. Source: OQMD, functional GGA-PBE.

The uncorrected energy is -4.285 eV per atom. As for the space-group type: No. 12. As for the volume: 32.193 Å³ per atom.

Unit cell a=10.1065 b=10.1065 c=9.0617 alpha=101.89 beta=101.89 gamma=25.28
Atoms (fractional coordinates):
Sr 0.1276 0.1276 0.0741
Sr 0.8724 0.8724 0.9259
Gd 0.1640 0.1640 0.5910
Gd 0.8360 0.8360 0.4090
Ag 0.4602 0.4602 0.2890
Ag 0.5399 0.5399 0.7110
Te 0.0000 0.0000 0.5000
Te 0.3151 0.3151 0.1614
Te 0.3270 0.3270 0.6430
Te 0.5000 0.5000 0.0000
Te 0.6730 0.6730 0.3570
Te 0.6849 0.6849 0.8386

---

SrGdAgTe3 after structural relaxation. Source: OQMD, functional GGA-PBE.

The uncorrected energy is -4.316 eV per atom. As for the space-group type: No. 11. As for the volume: 31.745 Å³ per atom.

Unit cell a=8.5141 b=4.3703 c=10.6739 alpha=90.00 beta=106.44 gamma=90.00
Atoms (fractional coordinates):
Sr 0.2392 0.2500 0.2903
Sr 0.7608 0.7500 0.7097
Gd 0.3104 0.7500 0.8347
Gd 0.6896 0.2500 0.1653
Ag 0.0846 0.2500 0.5912
Ag 0.9154 0.7500 0.4088
Te 0.0602 0.2500 0.8492
Te 0.2807 0.7500 0.5381
Te 0.4227 0.7500 0.1401
Te 0.5773 0.2500 0.8599
Te 0.7193 0.2500 0.4619
Te 0.9398 0.7500 0.1508